A geometry-optimized Ac4ZnCo3O12 structure. Source: Alexandria via LeMat-Bulk, functional PBE with a Hubbard U.

a b c (Å): 6.8849 6.8849 6.8849
angles (deg): 109.47 109.47 109.47
With the nearest neighbours (Å) after each atom.
Fractional coordinates of all 20 atoms:
Ac  0.0000  0.0000  0.5000  12 O 2.81
Ac  0.0000  0.5000  0.0000  12 O 2.81
Ac  0.5000  0.0000  0.0000  12 O 2.81
Ac  0.5000  0.5000  0.5000  12 O 2.81
Zn  0.0000  0.0000  0.0000  6 O 2.05
Co  0.0000  0.5000  0.5000  6 O 1.92-1.99
Co  0.5000  0.0000  0.5000  6 O 1.92-1.99
Co  0.5000  0.5000  0.0000  6 O 1.92-1.99
O  0.0000  0.2583  0.2583  1 Co 1.92, 1 Zn 2.05
O  0.0000  0.7417  0.7417  1 Co 1.92, 1 Zn 2.05
O  0.2500  0.5000  0.7500  2 Co 1.99
O  0.2500  0.7500  0.5000  2 Co 1.99
O  0.2583  0.0000  0.2583  1 Co 1.92, 1 Zn 2.05
O  0.2583  0.2583  0.0000  1 Co 1.92, 1 Zn 2.05
O  0.5000  0.2500  0.7500  2 Co 1.99
O  0.5000  0.7500  0.2500  2 Co 1.99
O  0.7417  0.0000  0.7417  1 Co 1.92, 1 Zn 2.05
O  0.7417  0.7417  0.0000  1 Co 1.92, 1 Zn 2.05
O  0.7500  0.2500  0.5000  2 Co 1.99
O  0.7500  0.5000  0.2500  2 Co 1.99

Summary:
Its total energy is -6.82 eV/atom. Its space group is No. 229. The calculated density is 8.87 Mg/m³.